VASP calculation (PBE) on a geometry-optimized Nd3HoTl2 structure.

The calculation puts the total energy at -49.3 eV per cell. The calculation puts the energy above the most stable polymorph in this dataset at 92 meV/atom. As for the calculated volume: 31.6 Å³ per atom. The calculation puts the energy of formation at -0.176 eV/atom. The space group is C2/m (12). As for the density of states at the Fermi level: 12.2 states/eV per cell.

Unit cell a=5.0610 b=8.6116 c=10.3603 alpha=117.30 beta=90.00 gamma=107.09
Last column: nearest neighbours and their distance in Å.
Element x y z (fractional)
Nd1 0.2890 0.5779 0.6214  2 Tl 3.30-3.32, 3 Nd 3.36-3.65
Nd2 0.9584 0.9167 0.6397  2 Tl 3.25
Nd3 0.6338 0.2676 0.6727  3 Tl 3.33-3.41, 1 Ho 3.66
Nd4 0.3662 0.7324 0.3273  3 Tl 3.33-3.41, 1 Ho 3.66
Nd5 0.0416 0.0833 0.3603  2 Tl 3.25
Nd6 0.7110 0.4221 0.3786  2 Tl 3.30-3.32, 3 Nd 3.36-3.65
Ho1 0.8821 0.7641 0.9332  5 Tl 3.22-3.33, 1 Ho 3.44
Ho2 0.1179 0.2359 0.0668  5 Tl 3.22-3.33, 1 Ho 3.44
Tl1 0.5120 0.0241 0.8621  1 Tl 3.07, 2 Ho 3.22, 4 Nd 3.25-3.41
Tl2 0.4880 0.9759 0.1379  1 Tl 3.07, 2 Ho 3.22, 4 Nd 3.25-3.41
Tl3 0.7581 0.5161 0.1013  3 Tl 3.22-3.59, 3 Ho 3.26-3.33, 3 Nd 3.32-3.33
Tl4 0.2419 0.4839 0.8987  3 Tl 3.22-3.59, 3 Ho 3.26-3.33, 3 Nd 3.32-3.33